1.
PrDy5Tl2: optimized geometry, GGA-PBE.

abc: 3.6701 8.4534 8.4534
angles: 76.65 77.46 77.46
Atoms (fractional coordinates):
Pr 0.0000 0.0000 0.0000
Dy 0.0000 0.5000 0.5000
Dy 0.6348 0.5910 0.1393
Dy 0.3652 0.4090 0.8607
Dy 0.3652 0.8607 0.4090
Dy 0.6348 0.1393 0.5910
Tl 0.7405 0.7595 0.7595
Tl 0.2595 0.2405 0.2405

- formation energy from the elements (meV/atom) = -128
- space-group type = Immm (71)
- crystal system = orthorhombic



2.
TiRe2SbMo: optimized geometry, GGA-PBE.

abc: 4.7673 4.6661 4.7673
angles: 90.00 90.00 90.00
Last column: magnetic moment on the atom in μB.
Atoms (fractional coordinates):
Re 0.0000 0.0000 0.5000  0.43
Re 0.5000 0.0000 0.0000  0.26
Mo 0.0000 0.0000 0.0000  -0.06
Ti 0.0000 0.5000 0.0000  0.02
Sb 0.5000 0.5000 0.5000  -0.01

- raw formation energy (kcal/mol of atoms) = 34.18
- space-group type = P4/mmm (123)
- crystal system = tetragonal



What did the second record say?
TiRe2SbMo: optimized geometry, GGA-PBE.

abc: 4.7673 4.6661 4.7673
angles: 90.00 90.00 90.00
Last column: magnetic moment on the atom in μB.
Atoms (fractional coordinates):
Re 0.0000 0.0000 0.5000  0.43
Re 0.5000 0.0000 0.0000  0.26
Mo 0.0000 0.0000 0.0000  -0.06
Ti 0.0000 0.5000 0.0000  0.02
Sb 0.5000 0.5000 0.5000  -0.01

- raw formation energy (kcal/mol of atoms) = 34.18
- space-group type = P4/mmm (123)
- crystal system = tetragonal